(1)
# RbErMo

A relaxed RbErMo crystal (PBE, the Open Quantum Materials Database).

Calculated values
Offset from the most stable computed form: 0 meV per atom
Calculated density: 5.4 Mg/m³
Total moment: 3.22 μB/cell

Lattice parameters (Å, degrees): 5.321 5.321 5.321 60.00 60.00 60.00
Fractional positions:
Er 0.250 0.250 0.250
Rb 0.750 0.750 0.750
Mo 0.000 0.000 0.000

***

(2)
# Lu4NiSnC2

A relaxed Lu4NiSnC2 crystal (PBE, the Open Quantum Materials Database).

Calculated values
Calculated density: 9.7 Mg/m³
Total DFT energy (no corrections): -6.21 eV/atom
Total moment: 0.01 μB/cell

Lattice parameters (Å, degrees): 3.531 3.531 14.220 90.00 90.00 120.00
Fractional positions:
Lu 0.667 0.333 0.866
Lu 0.667 0.333 0.134
Lu 0.000 0.000 0.683
Lu 0.000 0.000 0.317
C 0.333 0.667 0.771
C 0.333 0.667 0.229
Ni 0.000 0.000 0.000
Sn 0.667 0.333 0.500